No. 1
First-principles (PBE+U) data for Rb2Mo3SO13 after structural relaxation, as listed in Alexandria via LeMat-Bulk. Values from VASP.

Cell and atoms, written as Quantum ESPRESSO input:
```
&SYSTEM
  ibrav = 0, nat = 76, ntyp = 4
/
ATOMIC_SPECIES
O 16.00 O.upf
Mo 95.94 Mo.upf
Rb 85.47 Rb.upf
S 32.06 S.upf
ATOMIC_POSITIONS crystal
O 0.835 0.869 0.449
O 0.683 0.514 0.642
O 0.159 0.802 0.543
O 0.116 0.284 0.191
O 0.296 0.901 0.369
O 0.904 0.891 0.963
O 0.416 0.837 0.645
O 0.608 0.282 0.538
O 0.817 0.986 0.142
O 0.043 0.262 0.727
O 0.590 0.952 0.458
O 0.892 0.218 0.038
O 0.108 0.782 0.962
O 0.957 0.738 0.273
O 0.165 0.131 0.551
O 0.404 0.391 0.537
O 0.384 0.216 0.691
O 0.659 0.302 0.957
O 0.392 0.718 0.462
O 0.090 0.452 0.042
O 0.658 0.981 0.977
O 0.637 0.796 0.603
O 0.137 0.296 0.897
O 0.916 0.337 0.855
O 0.158 0.481 0.523
O 0.665 0.631 0.949
O 0.863 0.704 0.103
O 0.412 0.612 0.641
O 0.912 0.112 0.859
O 0.596 0.609 0.463
O 0.183 0.014 0.858
O 0.317 0.486 0.358
O 0.084 0.663 0.145
O 0.204 0.599 0.869
O 0.584 0.163 0.355
O 0.335 0.369 0.051
O 0.543 0.762 0.773
O 0.457 0.238 0.227
O 0.841 0.198 0.457
O 0.616 0.784 0.309
O 0.842 0.519 0.477
O 0.342 0.019 0.023
O 0.588 0.388 0.359
O 0.341 0.698 0.043
O 0.704 0.099 0.631
O 0.796 0.401 0.131
O 0.096 0.109 0.037
O 0.910 0.548 0.958
O 0.363 0.204 0.397
O 0.410 0.048 0.542
O 0.884 0.716 0.809
O 0.088 0.888 0.141
Mo 0.831 0.367 0.009
Mo 0.837 0.027 0.017
Mo 0.163 0.973 0.983
Mo 0.331 0.867 0.491
Mo 0.147 0.299 0.063
Mo 0.669 0.133 0.509
Mo 0.337 0.527 0.483
Mo 0.169 0.633 0.991
Mo 0.663 0.473 0.517
Mo 0.647 0.799 0.437
Mo 0.853 0.701 0.937
Mo 0.353 0.201 0.563
Rb 0.992 0.454 0.311
Rb 0.067 0.039 0.319
Rb 0.008 0.546 0.689
Rb 0.508 0.046 0.811
Rb 0.433 0.461 0.819
Rb 0.933 0.961 0.681
Rb 0.492 0.954 0.189
Rb 0.567 0.539 0.181
S 0.002 0.251 0.831
S 0.502 0.751 0.669
S 0.998 0.749 0.169
S 0.498 0.249 0.331
CELL_PARAMETERS angstrom
-2.362 2.467 9.208
6.702 -8.685 -0.179
10.622 8.186 0.531
```

Summary:
Crystal system: monoclinic
Magnetization: 0.02 μB per formula unit


No. 2
First-principles (PBE+U) data for Rb2SbMoO6 after structural relaxation, as listed in Alexandria via LeMat-Bulk. Values from VASP.

Cell and atoms, written as Quantum ESPRESSO input:
```
&SYSTEM
  ibrav = 0, nat = 10, ntyp = 4
/
ATOMIC_SPECIES
Rb 85.47 Rb.upf
O 16.00 O.upf
Mo 95.94 Mo.upf
Sb 121.76 Sb.upf
ATOMIC_POSITIONS crystal
Rb 0.750 0.250 0.500
Rb 0.250 0.750 0.500
O 0.739 0.739 0.523
O 0.262 0.262 0.001
O 0.737 0.263 0.000
O 0.261 0.261 0.476
O 0.738 0.738 0.999
O 0.263 0.737 0.000
Mo 0.500 0.500 0.000
Sb 0.000 0.000 0.000
CELL_PARAMETERS angstrom
5.859 -0.001 0.001
-0.001 5.859 0.001
2.930 2.930 4.139
```

Summary:
Crystal system: monoclinic
Magnetization: 0.00 μB per formula unit


No. 3
First-principles (PBE+U) data for RbSbMoO6 after structural relaxation, as listed in Alexandria via LeMat-Bulk. Values from VASP.

Cell and atoms, written as Quantum ESPRESSO input:
```
&SYSTEM
  ibrav = 0, nat = 9, ntyp = 4
/
ATOMIC_SPECIES
O 16.00 O.upf
Sb 121.76 Sb.upf
Mo 95.94 Mo.upf
Rb 85.47 Rb.upf
ATOMIC_POSITIONS crystal
O 0.605 0.403 0.677
O 0.403 0.606 0.323
O 0.606 0.991 0.323
O 0.403 0.992 0.677
O 0.991 0.606 0.677
O 0.992 0.403 0.323
Sb 0.333 0.333 0.500
Mo 0.667 0.667 0.500
Rb 0.000 0.000 0.000
CELL_PARAMETERS angstrom
5.377 0.000 -0.002
2.689 4.657 0.001
0.004 -0.006 6.332
```

Summary:
ΔE to the lowest computed polymorph: 0.063 eV/atom
Crystal system: trigonal
Magnetization: 0.00 μB per formula unit


No. 4
First-principles (PBE+U) data for RbSbMoO6 after structural relaxation, as listed in Alexandria via LeMat-Bulk. Values from VASP.

Cell and atoms, written as Quantum ESPRESSO input:
```
&SYSTEM
  ibrav = 0, nat = 18, ntyp = 4
/
ATOMIC_SPECIES
Mo 95.94 Mo.upf
O 16.00 O.upf
Sb 121.76 Sb.upf
Rb 85.47 Rb.upf
ATOMIC_POSITIONS crystal
Mo 0.458 0.487 0.471
Mo 0.983 0.513 0.971
O 0.447 0.191 0.381
O 0.822 0.194 0.755
O 0.190 0.434 0.881
O 0.562 0.433 0.255
O 0.432 0.172 0.761
O 0.589 0.828 0.261
O 0.828 0.574 0.755
O 0.181 0.426 0.255
O 0.190 0.809 0.256
O 0.822 0.567 0.128
O 0.447 0.566 0.756
O 0.562 0.806 0.628
Sb 0.506 0.000 0.506
Sb 0.506 0.500 0.006
Rb 0.082 0.887 0.695
Rb 0.808 0.113 0.195
CELL_PARAMETERS angstrom
7.361 -0.046 0.029
-0.201 7.358 -0.029
-3.388 -3.844 5.285
```

Summary:
ΔE to the lowest computed polymorph: 0.000 eV/atom
Crystal system: orthorhombic
Magnetization: 0.00 μB per formula unit


Computed raw total energy (eV/atom) in order:
-6.50, -5.79, -6.23, -6.30